VASP calculation (PBE) on a relaxed Tb3NdEr3 crystal.

Cell: 9.8409 9.8409 8.1759 Å, 90.00 90.00 120.00°
Space group R3m (No. 160, hexagonal axes)
Inequivalent atoms, fractional coordinates:
Tb (0.2149, 0.4297, 0.0000) x9
Nd (0.0000, 0.0000, 0.6278) x3
Er (0.1995, 0.3990, 0.5735) x9

* E_form: 1.71 eV/f.u.
* M_tot: 0.00 μB per cell
* density of states at the Fermi level: 31.5 states/eV per cell
* calculated volume: 32.65 A^3/atom
* polymorph energy (0 for the lowest one): 0.42 eV per formula unit
* density: 8.157 g cm⁻³